[1]
DFT (PBE) results for a relaxed structure of CuIO4.

Calculated volume: 144.93 Å³ per cell
Formation energy from raw total energies: -0.251 eV/atom
Spin magnetization: 0.131 μB/atom

POSCAR file:
```
CuIO4
1.0
-4.481 -3.049 3.300
-2.975 -4.454 -2.054
1.063 -4.522 3.365
Cu I O
2 2 8
Direct
0.753 0.000 0.000
0.503 0.500 0.500
0.232 0.000 0.000
0.982 0.500 0.500
0.248 0.701 0.299
0.760 0.692 0.308
0.297 0.201 0.201
0.818 0.192 0.192
0.698 0.799 0.799
0.202 0.808 0.808
0.760 0.308 0.692
0.248 0.299 0.701
```

***

[2]
DFT (PBE) results for a relaxed structure of AlCoNi2.

Energy of formation: -279 meV/atom
Calculated volume: 45.86 Å³ per cell
Spin magnetization: 0.489 μB/atom

POSCAR file:
```
AlCoNi2
1.0
-3.670 -1.318 1.234
0.865 -0.110 2.455
-1.252 4.071 0.623
Ni Co Al
2 1 1
Direct
0.000 0.125 0.944
0.500 0.125 0.301
0.500 0.625 0.811
0.000 0.625 0.443
```

***

[3]
DFT (PBE) results for a relaxed structure of Sr2TlHgPd.

Energy of formation: -322 meV/atom
Calculated volume: 177.19 Å³ per cell
Spin magnetization: 0.000 μB/atom

POSCAR file:
```
Sr2TlHgPd
1.0
-2.975 1.535 -4.745
-4.757 -2.533 2.163
-1.355 4.520 2.312
Sr Tl Hg Pd
2 1 1 1
Direct
0.000 0.500 0.000
0.500 0.000 0.000
0.500 0.500 0.500
0.000 0.000 0.500
0.000 0.000 0.000
```

***

[4]
DFT (PBE) results for a relaxed structure of Rb2Ge2Bi.

Energy of formation: -81 meV/atom
Calculated volume: 347.07 Å³ per cell
Spin magnetization: 0.000 μB/atom

POSCAR file:
```
Rb2Ge2Bi
1.0
-1.243 7.372 -2.043
-7.538 -1.534 -0.951
-0.976 1.367 5.528
Ge Bi Rb
4 2 4
Direct
0.391 0.891 0.000
0.891 0.609 0.000
0.609 0.109 0.000
0.109 0.391 0.000
0.000 0.000 0.000
0.500 0.500 0.000
0.196 0.696 0.500
0.696 0.804 0.500
0.804 0.304 0.500
0.304 0.196 0.500
```

***

[5]
DFT (PBE) results for a relaxed structure of YTl4Br7.

Calculated volume: 465.30 Å³ per cell
Formation energy from raw total energies: -1.175 eV/atom
Spin magnetization: 0.000 μB/atom

POSCAR file:
```
YTl4Br7
1.0
5.251 0.000 -1.715
-1.352 6.639 -4.141
0.909 1.990 11.679
Y Tl Br
1 4 7
Direct
0.000 0.000 0.000
0.416 0.469 0.832
0.584 0.531 0.168
0.307 0.866 0.614
0.693 0.134 0.386
0.111 0.322 0.221
0.889 0.678 0.779
0.925 0.202 0.849
0.075 0.798 0.151
0.723 0.776 0.447
0.500 0.000 0.000
0.277 0.224 0.553
```

***

[6]
DFT (PBE) results for a relaxed structure of Ho2AlCo5Si2.

Calculated volume: 285.96 Å³ per cell
Formation energy from raw total energies: -0.478 eV/atom
Spin magnetization: 0.000 μB/atom

POSCAR file:
```
Ho2AlCo5Si2
1.0
-0.660 3.143 0.528
-9.171 -1.936 0.066
0.378 -1.475 9.249
Ho Al Co Si
4 2 10 4
Direct
0.000 0.677 0.177
0.000 0.323 0.823
0.000 0.177 0.323
0.000 0.823 0.677
0.000 0.000 0.000
0.000 0.500 0.500
0.500 0.215 0.065
0.500 0.785 0.935
0.500 0.065 0.785
0.500 0.715 0.435
0.500 0.935 0.215
0.500 0.285 0.565
0.500 0.565 0.715
0.500 0.435 0.285
0.500 0.500 0.000
0.500 0.000 0.500
0.000 0.120 0.620
0.000 0.880 0.380
0.000 0.620 0.880
0.000 0.380 0.120
```

***

[7]
DFT (PBE) results for a relaxed structure of Ta2RhC.

Energy of formation: 644 meV/atom
Calculated volume: 57.21 Å³ per cell
Spin magnetization: 0.000 μB/atom

POSCAR file:
```
Ta2RhC
1.0
-3.656 -0.009 2.311
-3.582 1.810 -1.612
-3.321 -2.489 -1.217
C Rh Ta
1 1 2
Direct
0.000 0.000 0.000
0.500 0.500 0.500
0.250 0.250 0.250
0.750 0.750 0.750
```

***

[8]
DFT (PBE) results for a relaxed structure of Tb10Pm4Tm.

Energy of formation: 413 meV/atom
Calculated volume: 549.43 Å³ per cell
Spin magnetization: 0.000 μB/atom

POSCAR file:
```
Tb10Pm4Tm
1.0
10.497 0.000 4.740
5.248 6.907 2.370
2.406 0.000 8.665
Tb Pm Tm
10 4 1
Direct
0.250 0.500 0.500
0.721 0.346 0.890
0.933 0.110 0.346
0.389 0.890 0.654
0.957 0.654 0.110
0.279 0.654 0.110
0.750 0.500 0.500
0.043 0.346 0.890
0.611 0.110 0.346
0.067 0.890 0.654
0.570 0.606 0.255
0.824 0.745 0.606
0.176 0.255 0.394
0.430 0.394 0.745
0.000 0.000 0.000
```

***

[9]
DFT (PBE) results for a relaxed structure of AsH3S.

Total energy: -0.110 hartree per atom
Calculated volume: 48.68 Å³ per cell
Spin magnetization: 0.082 μB/atom

POSCAR file:
```
AsH3S
1.0
3.651 0.000 0.000
0.000 3.651 0.000
0.000 0.000 3.651
H As S
3 1 1
Direct
0.000 0.500 0.000
0.000 0.000 0.500
0.500 0.000 0.000
0.000 0.000 0.000
0.500 0.500 0.500
```

***

[10]
DFT (PBE) results for a relaxed structure of Nd6In2Au.

Energy of formation: -395 meV/atom
Calculated volume: 276.27 Å³ per cell
Spin magnetization: 0.001 μB/atom

POSCAR file:
```
Nd6In2Au
1.0
-0.792 0.658 3.729
6.752 -5.569 2.417
1.630 8.850 -1.217
Nd In Au
6 2 1
Direct
0.500 0.604 0.000
0.500 0.396 0.396
0.500 0.000 0.604
0.000 0.261 0.000
0.000 0.739 0.739
0.000 0.000 0.261
0.000 0.333 0.667
0.000 0.667 0.333
0.500 0.000 0.000
```

***

[11]
DFT (PBE) results for a relaxed structure of Nb5V5Si6.

Calculated volume: 245.73 Å³ per cell
Formation energy from raw total energies: -0.414 eV/atom
Spin magnetization: 0.001 μB/atom

POSCAR file:
```
Nb5V5Si6
1.0
3.780 1.134 6.280
-6.641 3.121 -1.082
-2.302 -4.159 2.137
Nb V Si
5 5 6
Direct
0.664 0.336 0.252
0.336 0.664 0.252
0.336 0.664 0.748
0.664 0.336 0.748
0.213 0.213 0.000
0.007 0.761 0.000
0.761 0.007 0.000
0.741 0.741 0.500
0.998 0.270 0.500
0.270 0.998 0.500
0.623 0.623 0.000
0.995 0.395 0.000
0.395 0.995 0.000
0.373 0.373 0.500
0.002 0.623 0.500
0.623 0.002 0.500
```

***

[12]
DFT (PBE) results for a relaxed structure of K2InP.

Energy of formation: -186 meV/atom
Calculated volume: 156.60 Å³ per cell
Spin magnetization: 0.000 μB/atom

POSCAR file:
```
K2InP
1.0
9.928 -0.015 -0.009
8.987 4.220 -0.009
8.987 1.998 3.717
In K P
1 2 1
Direct
0.778 0.778 0.778
0.026 0.026 0.026
0.216 0.216 0.216
0.480 0.480 0.480
```